First-principles (PBE+U) data for a geometry-optimized Cs2Co3AgF12 structure, as listed in Alexandria.

## Properties
- electronic total energy (eV for the cell shown) = -79.7
- SG = R-3m (166)

abc: 7.584 7.584 7.584
angles: 59.08 59.08 59.08
Sites, in units of the cell vectors:
Cs 0.122 0.122 0.122
Cs 0.878 0.878 0.878
Co 0.000 0.500 0.500
Co 0.500 0.000 0.500
Co 0.500 0.500 0.000
Ag 0.500 0.500 0.500
F 0.137 0.587 0.587
F 0.197 0.197 0.575
F 0.197 0.575 0.197
F 0.413 0.413 0.863
F 0.413 0.863 0.413
F 0.425 0.803 0.803
F 0.575 0.197 0.197
F 0.587 0.137 0.587
F 0.587 0.587 0.137
F 0.803 0.425 0.803
F 0.803 0.803 0.425
F 0.863 0.413 0.413